Entry 1:
A relaxed Cu2BPd2 crystal. Source: Alexandria via LeMat-Bulk, functional PBE.

Values from the calculation:
energy above the lowest structure with this stoichiometry = 0 meV per atom
formation energy from the elements = 22 meV/atom
electronic total energy = -5.029 eV per atom

The structure in CIF format:
```
data_Cu2BPd2
_cell_length_a 5.575
_cell_length_b 5.575
_cell_length_c 4.310
_cell_angle_alpha 90.00
_cell_angle_beta 90.00
_cell_angle_gamma 90.00
_symmetry_space_group_name_H-M 'P 4/m b m'
_symmetry_Int_Tables_number 127
_symmetry_space_group_name_Hall '-P 4 2ab'
loop_
_atom_site_label
_atom_site_type_symbol
_atom_site_fract_x
_atom_site_fract_y
_atom_site_fract_z
Cu1 Cu 0.156 0.344 0.000
B1 B 0.000 0.000 0.500
Pd1 Pd 0.166 0.666 0.500
```

---

Entry 2:
A relaxed CuBPd4 crystal. Source: Alexandria via LeMat-Bulk, functional PBE.

Values from the calculation:
energy above the lowest structure with this stoichiometry = 0 meV per atom
formation energy from the elements = -130 meV/atom
electronic total energy = -5.388 eV per atom

The structure in CIF format:
```
data_CuBPd4
_cell_length_a 13.285
_cell_length_b 5.560
_cell_length_c 4.779
_cell_angle_alpha 90.00
_cell_angle_beta 110.96
_cell_angle_gamma 90.00
_symmetry_space_group_name_H-M 'C 1 2/m 1'
_symmetry_Int_Tables_number 12
_symmetry_space_group_name_Hall '-C 2y'
loop_
_atom_site_label
_atom_site_type_symbol
_atom_site_fract_x
_atom_site_fract_y
_atom_site_fract_z
Cu1 Cu 0.192 0.000 0.192
B1 B 0.000 0.500 0.313
Pd1 Pd 0.000 0.237 0.000
Pd2 Pd 0.120 0.248 0.619
Pd3 Pd 0.190 0.500 0.190
```

---

Entry 3:
A relaxed Pm2CuBPd6 crystal. Source: Alexandria via LeMat-Bulk, functional PBE.

Values from the calculation:
formation energy from the elements = -595 meV/atom
electronic total energy = -5.738 eV per atom

The structure in CIF format:
```
data_Pm2CuBPd6
_cell_length_a 5.699
_cell_length_b 5.717
_cell_length_c 7.193
_cell_angle_alpha 67.02
_cell_angle_beta 66.79
_cell_angle_gamma 60.20
_symmetry_space_group_name_H-M 'P -1'
_symmetry_Int_Tables_number 2
_symmetry_space_group_name_Hall '-P 1'
loop_
_atom_site_label
_atom_site_type_symbol
_atom_site_fract_x
_atom_site_fract_y
_atom_site_fract_z
Pm1 Pm 0.217 0.224 0.345
Cu1 Cu 0.500 0.500 0.500
B1 B 0.000 0.000 0.000
Pd1 Pd 0.234 0.713 0.815
Pd2 Pd 0.237 0.229 0.804
Pd3 Pd 0.275 0.772 0.192
```